Record 1
{
  "formula": "BaAg2Te",
  "functional": "PBE",
  "state": "optimized geometry",
  "lattice_angstrom": [[10.115, 0.000, 0.000], [0.000, 4.657, 0.000], [-1.843, 0.000, 5.167]],
  "species": ["Ba", "Ba", "Ag", "Ag", "Ag", "Ag", "Te", "Te"],
  "fractional_positions": [[0.000, 0.000, 0.000], [0.500, 0.500, 0.000], [0.227, 0.000, 0.636], [0.273, 0.500, 0.364], [0.727, 0.500, 0.636], [0.773, 0.000, 0.364], [0.000, 0.500, 0.500], [0.500, 0.000, 0.500]],
  "raw_formation_energy_ev_per_atom": -0.374,
  "total_energy_ev_per_atom": -3.07,
  "sg": "C2/m (12)"
}

Record 2
{
  "formula": "YSnP2Rh5",
  "functional": "PBE",
  "state": "optimized geometry",
  "lattice_angstrom": [[4.048, 0.000, 0.000], [0.000, 4.048, 0.000], [0.000, 0.000, 8.654]],
  "species": ["Y", "Sn", "P", "P", "Rh", "Rh", "Rh", "Rh", "Rh"],
  "fractional_positions": [[0.000, 0.000, 0.000], [0.000, 0.000, 0.500], [0.500, 0.500, 0.136], [0.500, 0.500, 0.864], [0.000, 0.500, 0.265], [0.000, 0.500, 0.735], [0.500, 0.000, 0.265], [0.500, 0.000, 0.735], [0.500, 0.500, 0.500]],
  "total_energy_ev_per_atom": -7.32,
  "sg": "P4/mmm (123)",
  "formation_energy_ev_per_atom": -0.8668
}

Record 3
{
  "formula": "Na7Cd2In",
  "functional": "PBE",
  "state": "optimized geometry",
  "lattice_angstrom": [[5.377, 0.000, 0.000], [-2.689, 4.657, 0.000], [0.000, 0.000, 12.604]],
  "species": ["Na", "Na", "Na", "Na", "Na", "Na", "Na", "Cd", "Cd", "In"],
  "fractional_positions": [[0.000, 0.000, 0.000], [0.000, 0.000, 0.253], [0.000, 0.000, 0.511], [0.333, 0.667, 0.081], [0.333, 0.667, 0.659], [0.667, 0.333, 0.422], [0.667, 0.333, 0.851], [0.000, 0.000, 0.755], [0.333, 0.667, 0.341], [0.667, 0.333, 0.159]],
  "total_energy_ev_per_atom": -1.38,
  "sg": "P3m1 (156)",
  "formation_energy_ev_per_atom": 0.0016
}

Record 4
{
  "formula": "BeH6Pd12",
  "functional": "PBE",
  "state": "optimized geometry",
  "lattice_angstrom": [[4.411, 2.547, 3.230], [-4.411, 2.547, 3.230], [0.000, -5.093, 3.230]],
  "species": ["Be", "H", "H", "H", "H", "H", "H", "Pd", "Pd", "Pd", "Pd", "Pd", "Pd", "Pd", "Pd", "Pd", "Pd", "Pd", "Pd"],
  "fractional_positions": [[0.000, 0.000, 0.000], [0.114, 0.343, 0.611], [0.343, 0.611, 0.114], [0.389, 0.886, 0.657], [0.611, 0.114, 0.343], [0.657, 0.389, 0.886], [0.886, 0.657, 0.389], [0.073, 0.870, 0.673], [0.130, 0.327, 0.927], [0.187, 0.550, 0.373], [0.327, 0.927, 0.130], [0.373, 0.187, 0.550], [0.450, 0.627, 0.813], [0.550, 0.373, 0.187], [0.627, 0.813, 0.450], [0.673, 0.073, 0.870], [0.813, 0.450, 0.627], [0.870, 0.673, 0.073], [0.927, 0.130, 0.327]],
  "total_energy_ev_per_atom": -4.54,
  "sg": "R-3 (148)"
}